1.
A geometry-optimized ErAgHgCl6 structure. Source: Alexandria, functional PBE.

Cell lengths 6.7651, 6.7651, 12.3171 Å; angles 90.00, 90.00, 120.00 degrees
Fractional positions:
Er: 0.3333 0.6667 0.2500
Er: 0.6667 0.3333 0.7500
Ag: 0.0000 0.0000 0.0000
Ag: 0.0000 0.0000 0.5000
Hg: 0.3333 0.6667 0.7500
Hg: 0.6667 0.3333 0.2500
Cl: 0.0101 0.3504 0.1277
Cl: 0.0101 0.6597 0.3723
Cl: 0.3403 0.3504 0.3723
Cl: 0.3403 0.9899 0.1277
Cl: 0.3504 0.0101 0.6277
Cl: 0.3504 0.3403 0.8723
Cl: 0.6496 0.6597 0.1277
Cl: 0.6496 0.9899 0.3723
Cl: 0.6597 0.0101 0.8723
Cl: 0.6597 0.6496 0.6277
Cl: 0.9899 0.3403 0.6277
Cl: 0.9899 0.6496 0.8723

Space-group type: P-31c (163)
Formation energy (no corrections), eV per atom: -1.274

---

2.
A geometry-optimized AlCdOs2 structure. Source: Alexandria, functional PBE.

Cell lengths 4.4166, 4.4166, 3.1445 Å; angles 90.00, 90.00, 90.00 degrees
Fractional positions:
Al: 0.0000 0.0000 0.0000
Cd: 0.5000 0.5000 0.0000
Os: 0.0000 0.5000 0.5000
Os: 0.5000 0.0000 0.5000

Space-group type: P4/mmm (123)
Offset from the most stable computed form, eV/atom: 0.3333
Energy of formation from the pure elements, eV/atom: 0.43

---

3.
A geometry-optimized Rh structure. Source: Alexandria, functional PBE.

Cell lengths 2.5438, 2.5438, 2.5438 Å; angles 90.00, 90.00, 90.00 degrees
Fractional positions:
Rh: 0.0000 0.0000 0.0000

Space-group type: Pm-3m (221)
Offset from the most stable computed form, eV/atom: 0.7894
Energy of formation from the pure elements, eV/atom: 0.79

---

4.
A geometry-optimized LaTb5Pr5 structure. Source: Alexandria, functional PBE.

Cell lengths 6.2247, 6.2247, 11.8235 Å; angles 90.00, 90.00, 120.00 degrees
Fractional positions:
La: 0.0000 0.0000 0.0000
Tb: 0.0001 0.5000 0.5000
Tb: 0.5000 0.9999 0.5000
Tb: 0.5000 0.5000 0.5000
Tb: 0.6667 0.3333 0.2663
Tb: 0.6667 0.3333 0.7336
Pr: 0.0000 0.0000 0.3238
Pr: 0.0000 0.0000 0.6762
Pr: 0.3333 0.6667 0.1583
Pr: 0.3333 0.6667 0.8417
Pr: 0.6667 0.3333 0.0000

Space-group type: P-6m2 (187)
Energy of formation from the pure elements, eV/atom: 0.27

---

5.
A geometry-optimized Nd4ErHg structure. Source: Alexandria, functional PBE.

Cell lengths 8.4119, 8.4119, 6.4921 Å; angles 100.14, 100.14, 115.37 degrees
Fractional positions:
Nd: 0.0896 0.7110 0.9514
Nd: 0.1707 0.3988 0.6248
Nd: 0.2890 0.9104 0.5486
Nd: 0.3988 0.1707 0.1248
Nd: 0.6012 0.8293 0.8752
Nd: 0.7110 0.0896 0.4514
Nd: 0.8293 0.6012 0.3752
Nd: 0.9104 0.2890 0.0486
Er: 0.4076 0.5924 0.2500
Er: 0.5924 0.4076 0.7500
Hg: 0.0015 0.9985 0.2500
Hg: 0.9985 0.0015 0.7500

Space-group type: C2/c (15)
Offset from the most stable computed form, eV/atom: 0.0947
Energy of formation from the pure elements, eV/atom: -0.05

---

6.
A geometry-optimized Sm3ErTh4Se8 structure. Source: Alexandria, functional PBE.

Cell lengths 8.4934, 8.4934, 8.4934 Å; angles 57.69, 57.69, 57.69 degrees
Fractional positions:
Sm: 0.0000 0.5000 0.5000
Sm: 0.5000 0.0000 0.5000
Sm: 0.5000 0.5000 0.0000
Er: 0.0000 0.0000 0.0000
Th: 0.0000 0.0000 0.5000
Th: 0.0000 0.5000 0.0000
Th: 0.5000 0.0000 0.0000
Th: 0.5000 0.5000 0.5000
Se: 0.2434 0.2434 0.7520
Se: 0.2434 0.7520 0.2434
Se: 0.2480 0.7566 0.7566
Se: 0.2524 0.2524 0.2524
Se: 0.7476 0.7476 0.7476
Se: 0.7520 0.2434 0.2434
Se: 0.7566 0.2480 0.7566
Se: 0.7566 0.7566 0.2480

Space-group type: R-3m (166)
Formation energy (no corrections), eV per atom: -1.658

---

7.
A geometry-optimized Ir2RuPtRh2 structure. Source: Alexandria, functional PBE.

Cell lengths 8.8583, 8.8649, 2.6782 Å; angles 90.00, 90.00, 90.00 degrees
Fractional positions:
Ir: 0.0586 0.2469 0.0000
Ir: 0.4414 0.7469 0.5000
Ir: 0.5586 0.2531 0.5000
Ir: 0.9414 0.7531 0.0000
Ru: 0.0000 0.0000 0.5000
Ru: 0.5000 0.5000 0.0000
Pt: 0.0000 0.5000 0.5000
Pt: 0.5000 0.0000 0.0000
Rh: 0.2187 0.8544 0.0000
Rh: 0.2813 0.3544 0.5000
Rh: 0.7187 0.6456 0.5000
Rh: 0.7813 0.1456 0.0000

Space-group type: Pnnm (58)
Energy of formation from the pure elements, eV/atom: 0.54

---

8.
A geometry-optimized La4OsSCl2 structure. Source: Alexandria, functional PBE.

Cell lengths 7.4098, 4.1265, 7.5444 Å; angles 90.00, 107.31, 90.00 degrees
Fractional positions:
La: 0.2265 0.0000 0.2166
La: 0.2524 0.5000 0.7826
La: 0.7476 0.5000 0.2174
La: 0.7735 0.0000 0.7834
Os: 0.0000 0.5000 0.0000
S: 0.5000 0.0000 0.0000
Cl: 0.0000 0.0000 0.5000
Cl: 0.5000 0.5000 0.5000

Space-group type: P2/m (10)
Formation energy (no corrections), eV per atom: -1.400

---

9.
A geometry-optimized SrMn2Tc structure. Source: Alexandria, functional PBE.

Cell lengths 4.7199, 4.7199, 4.7199 Å; angles 60.00, 60.00, 60.00 degrees
Fractional positions:
Sr: 0.0000 0.0000 0.0000
Mn: 0.2500 0.2500 0.2500
Mn: 0.5000 0.5000 0.5000
Tc: 0.7500 0.7500 0.7500

Space-group type: F-43m (216)
Offset from the most stable computed form, eV/atom: 0.5775
Energy of formation from the pure elements, eV/atom: 0.98

---

10.
A geometry-optimized BaBe2NiAs8 structure. Source: Alexandria, functional PBE.

Cell lengths 5.8857, 5.8857, 10.3610 Å; angles 95.38, 95.38, 53.14 degrees
Fractional positions:
Ba: 0.0000 0.0000 0.0000
Be: 0.1976 0.1976 0.2719
Be: 0.8024 0.8024 0.7281
Ni: 0.0000 0.0000 0.5000
As: 0.2239 0.2239 0.4878
As: 0.2430 0.7061 0.6860
As: 0.2939 0.7570 0.3140
As: 0.3527 0.3527 0.1462
As: 0.6473 0.6473 0.8538
As: 0.7061 0.2430 0.6860
As: 0.7570 0.2939 0.3140
As: 0.7761 0.7761 0.5122

Space-group type: C2/m (12)
Energy of formation from the pure elements, eV/atom: -0.08

---

11.
A geometry-optimized HfF structure. Source: Alexandria, functional PBE.

Cell lengths 8.7685, 8.7685, 3.1529 Å; angles 90.00, 90.00, 120.00 degrees
Fractional positions:
Hf: 0.0244 0.3128 0.2500
Hf: 0.2884 0.9756 0.2500
Hf: 0.3128 0.2884 0.7500
Hf: 0.6872 0.7116 0.2500
Hf: 0.7116 0.0244 0.7500
Hf: 0.9756 0.6872 0.7500
F: 0.1192 0.5304 0.7500
F: 0.4112 0.8808 0.7500
F: 0.4696 0.5888 0.7500
F: 0.5304 0.4112 0.2500
F: 0.5888 0.1192 0.2500
F: 0.8808 0.4696 0.2500

Space-group type: P6_3/m (176)
Formation energy (no corrections), eV per atom: -1.767
Offset from the most stable computed form, eV/atom: 0.3691

---

12.
A geometry-optimized MnRe structure. Source: Alexandria, functional PBE.

Cell lengths 2.6905, 2.6905, 8.4025 Å; angles 90.00, 90.00, 120.00 degrees
Fractional positions:
Mn: 0.3333 0.6667 0.3893
Mn: 0.6667 0.3333 0.6107
Re: 0.3333 0.6667 0.8618
Re: 0.6667 0.3333 0.1382

Space-group type: P-3m1 (164)
Energy of formation from the pure elements, eV/atom: 0.15

---

13.
A geometry-optimized La12Tb7Pr structure. Source: Alexandria, functional PBE.

Cell lengths 8.8973, 8.8973, 8.8973 Å; angles 89.59, 89.59, 89.59 degrees
Fractional positions:
La: 0.0163 0.8881 0.3562
La: 0.1119 0.6438 0.9837
La: 0.2163 0.3561 0.7678
La: 0.2322 0.7837 0.6439
La: 0.3562 0.0163 0.8881
La: 0.3561 0.7678 0.2163
La: 0.6439 0.2322 0.7837
La: 0.6438 0.9837 0.1119
La: 0.7678 0.2163 0.3561
La: 0.7837 0.6439 0.2322
La: 0.8881 0.3562 0.0163
La: 0.9837 0.1119 0.6438
Tb: 0.0000 0.0000 0.0000
Tb: 0.1218 0.4386 0.3566
Tb: 0.3566 0.1218 0.4386
Tb: 0.4386 0.3566 0.1218
Tb: 0.5614 0.6434 0.8782
Tb: 0.6434 0.8782 0.5614
Tb: 0.8782 0.5614 0.6434
Pr: 0.5000 0.5000 0.5000

Space-group type: R-3 (148)
Offset from the most stable computed form, eV/atom: 0.0000
Energy of formation from the pure elements, eV/atom: 0.19

---

14.
A geometry-optimized HgIr3 structure. Source: Alexandria, functional PBE.

Cell lengths 4.9136, 4.9136, 2.8135 Å; angles 90.00, 90.00, 110.62 degrees
Fractional positions:
Hg: 0.0000 0.0000 0.0000
Ir: 0.0000 0.5000 0.5000
Ir: 0.5000 0.0000 0.5000
Ir: 0.5000 0.5000 0.0000

Space-group type: Cmmm (65)
Energy of formation from the pure elements, eV/atom: 0.48

---

15.
A geometry-optimized AlCdCoIr2 structure. Source: Alexandria, functional PBE.

Cell lengths 4.5152, 4.5152, 4.3150 Å; angles 90.00, 90.00, 90.00 degrees
Fractional positions:
Al: 0.0000 0.0000 0.0000
Cd: 0.5000 0.5000 0.5000
Co: 0.0000 0.0000 0.5000
Ir: 0.0000 0.5000 0.0000
Ir: 0.5000 0.0000 0.0000

Space-group type: P4/mmm (123)
Energy of formation from the pure elements, eV/atom: 0.75

---

16.
A geometry-optimized Cs2InF structure. Source: Alexandria, functional PBE.

Cell lengths 6.2563, 6.2563, 6.2563 Å; angles 60.00, 60.00, 60.00 degrees
Fractional positions:
Cs: 0.2500 0.2500 0.2500
Cs: 0.7500 0.7500 0.7500
In: 0.0000 0.0000 0.0000
F: 0.5000 0.5000 0.5000

Space-group type: Fm-3m (225)
Formation energy (no corrections), eV per atom: -0.721
Offset from the most stable computed form, eV/atom: 0.3871

---

17.
A geometry-optimized TbGdSi structure. Source: Alexandria, functional PBE.

Cell lengths 4.8714, 4.8714, 4.8714 Å; angles 60.00, 60.00, 60.00 degrees
Fractional positions:
Tb: 0.0000 0.0000 0.0000
Gd: 0.5000 0.5000 0.5000
Si: 0.7500 0.7500 0.7500

Space-group type: F-43m (216)
Formation energy (no corrections), eV per atom: -0.474
Offset from the most stable computed form, eV/atom: 0.0000

---

18.
A geometry-optimized AlZnSb2 structure. Source: Alexandria, functional PBE.

Cell lengths 4.9204, 4.9204, 3.7496 Å; angles 90.00, 90.00, 98.42 degrees
Fractional positions:
Al: 0.0000 0.0000 0.0000
Zn: 0.5000 0.5000 0.0000
Sb: 0.0000 0.5000 0.5000
Sb: 0.5000 0.0000 0.5000

Space-group type: Cmmm (65)
Formation energy (no corrections), eV per atom: 0.213
Offset from the most stable computed form, eV/atom: 0.2226

---

19.
A geometry-optimized Ta2V2Re3 structure. Source: Alexandria, functional PBE.

Cell lengths 11.1627, 11.1627, 3.1419 Å; angles 90.00, 90.00, 163.60 degrees
Fractional positions:
Ta: 0.0726 0.9274 0.0000
Ta: 0.9274 0.0726 0.0000
V: 0.2080 0.7920 0.0000
V: 0.7920 0.2080 0.0000
Re: 0.3529 0.6471 0.5000
Re: 0.5000 0.5000 0.5000
Re: 0.6471 0.3529 0.5000

Space-group type: Cmmm (65)
Energy of formation from the pure elements, eV/atom: -0.10

---

20.
A geometry-optimized NaYO structure. Source: Alexandria, functional PBE.

Cell lengths 4.6117, 4.6117, 6.2315 Å; angles 90.00, 90.00, 90.00 degrees
Fractional positions:
Na: 0.2500 0.2500 0.0361
Na: 0.7500 0.7500 0.9639
Y: 0.2500 0.7500 0.5000
Y: 0.7500 0.2500 0.5000
O: 0.2500 0.2500 0.4536
O: 0.7500 0.7500 0.5464

Space-group type: P4/nmm (129)
Formation energy (no corrections), eV per atom: -1.707
Offset from the most stable computed form, eV/atom: 0.0392

---

21.
A geometry-optimized NaNi2Te3 structure. Source: Alexandria, functional PBE.

Cell lengths 7.6823, 7.6823, 5.9641 Å; angles 90.00, 90.00, 120.00 degrees
Fractional positions:
Na: 0.3333 0.6667 0.3399
Na: 0.6667 0.3333 0.6601
Ni: 0.0000 0.0000 0.0000
Ni: 0.0000 0.5000 0.0000
Ni: 0.5000 0.0000 0.0000
Ni: 0.5000 0.5000 0.0000
Te: 0.1725 0.3449 0.7937
Te: 0.1725 0.8275 0.7937
Te: 0.3449 0.1725 0.2063
Te: 0.6551 0.8275 0.7937
Te: 0.8275 0.1725 0.2063
Te: 0.8275 0.6551 0.2063

Space-group type: P-3m1 (164)
Formation energy (no corrections), eV per atom: -0.315

---

22.
A geometry-optimized PrSm2Dy3Y6 structure. Source: Alexandria, functional PBE.

Cell lengths 6.2138, 6.2138, 11.8506 Å; angles 95.00, 95.00, 119.96 degrees
Fractional positions:
Pr: 0.0000 0.0000 0.0000
Sm: 0.3334 0.6666 0.0000
Sm: 0.6666 0.3334 0.0000
Dy: 0.1668 0.8332 0.5000
Dy: 0.5000 0.5000 0.5000
Dy: 0.8332 0.1668 0.5000
Y: 0.0845 0.4182 0.2528
Y: 0.2493 0.2493 0.7472
Y: 0.4182 0.0845 0.2528
Y: 0.5818 0.9155 0.7472
Y: 0.7507 0.7507 0.2528
Y: 0.9155 0.5818 0.7472

Space-group type: C2/m (12)
Energy of formation from the pure elements, eV/atom: 0.02

---

23.
A geometry-optimized Th6AsIr2Se3 structure. Source: Alexandria, functional PBE.

Cell lengths 9.5467, 9.5467, 8.7264 Å; angles 103.56, 103.56, 24.93 degrees
Fractional positions:
Th: 0.0071 0.0071 0.2489
Th: 0.3271 0.3271 0.4402
Th: 0.3326 0.3326 0.8971
Th: 0.6674 0.6674 0.1029
Th: 0.6729 0.6729 0.5598
Th: 0.9929 0.9929 0.7511
As: 0.5000 0.5000 0.0000
Ir: 0.1670 0.1670 0.3295
Ir: 0.8330 0.8330 0.6705
Se: 0.1609 0.1609 0.8314
Se: 0.5000 0.5000 0.5000
Se: 0.8391 0.8391 0.1686

Space-group type: C2/m (12)
Formation energy (no corrections), eV per atom: -1.355

---

24.
A geometry-optimized Tl2PbBr structure. Source: Alexandria, functional PBE.

Cell lengths 6.6757, 6.6757, 5.4298 Å; angles 98.37, 98.37, 32.57 degrees
Fractional positions:
Tl: 0.2187 0.2187 0.2442
Tl: 0.7813 0.7813 0.7558
Pb: 0.5000 0.5000 0.0000
Br: 0.0000 0.0000 0.5000

Space-group type: C2/m (12)
Formation energy (no corrections), eV per atom: -0.200
Offset from the most stable computed form, eV/atom: 0.0751

---

Number 1: M_tot 0.00 μB per formula unit. Number 2: M_tot 0.00 μB per formula unit. Number 3: M_tot 0.00 μB per formula unit. Number 4: M_tot 0.00 μB per formula unit. Number 5: M_tot 0.00 μB per formula unit. Number 6: M_tot 0.00 μB per formula unit. Number 7: M_tot 0.00 μB per formula unit. Number 8: M_tot 0.00 μB per formula unit. Number 9: M_tot 5.78 μB per formula unit. Number 10: M_tot 0.00 μB per formula unit. Number 11: M_tot 0.27 μB per formula unit. Number 12: M_tot 0.00 μB per formula unit. Number 13: M_tot 0.00 μB per formula unit. Number 14: M_tot 0.00 μB per formula unit. Number 15: M_tot 1.98 μB per formula unit. Number 16: M_tot 2.00 μB per formula unit. Number 17: M_tot 7.64 μB per formula unit. Number 18: M_tot 0.00 μB per formula unit. Number 19: M_tot 0.00 μB per formula unit. Number 20: M_tot 0.00 μB per formula unit. Number 21: M_tot 0.00 μB per formula unit. Number 22: M_tot 0.00 μB per formula unit. Number 23: M_tot 0.00 μB per formula unit. Number 24: M_tot 0.00 μB per formula unit.